This record from the Alexandria database describes a relaxed LaZn2Cd2 crystal. The functional is PBE.

Summary:
For the energy of formation, the calculation gives -28.7 kJ per mole of atoms. Its energy above the most stable polymorph in this dataset is 0.0 meV per atom. As for the crystal system: tetragonal. The total magnetic moment comes out at 0.00 μB per formula unit.

a = 6.6242 Å, b = 6.6242 Å, c = 6.6242 Å
α = 141.08°, β = 141.08°, γ = 56.21°
Atoms (fractional coordinates):
La 0.0000 0.0000 0.0000
Zn 0.3942 0.3942 0.0000
Zn 0.6058 0.6058 0.0000
Cd 0.2500 0.7500 0.5000
Cd 0.7500 0.2500 0.5000